[1]
Crystalline Hf2NbSbSe at its relaxed geometry. Source: the Alexandria database, functional PBE-GGA.

Results
Energy above the lowest structure with this stoichiometry ... 0 meV/atom
Total moment ... 0.000 μB/cell

CIF file:
```
data_Hf2NbSbSe
_chemical_formula_sum 'Hf2 Nb1 Sb1 Se1'
_cell_length_a 5.262
_cell_length_b 5.262
_cell_length_c 4.716
_cell_angle_alpha 90.00
_cell_angle_beta 90.00
_cell_angle_gamma 90.00
_space_group_name_H-M_alt 'P 4/m m m'
_space_group_IT_number 123
_space_group_name_Hall '-P 4 2'
loop_
_atom_site_label
_atom_site_fract_x
_atom_site_fract_y
_atom_site_fract_z
_atom_site_occupancy
Hf1 0.000 0.500 0.000 1
Nb1 0.000 0.000 0.000 1
Sb1 0.500 0.500 0.500 1
Se1 0.000 0.000 0.500 1
```

[2]
Crystalline HfNbSbSe2 at its relaxed geometry. Source: the Alexandria database, functional PBE-GGA.

Results
Uncorrected energy ... -5.8977 eV per atom
Total moment ... 0.842 μB/cell

CIF file:
```
data_HfNbSbSe2
_chemical_formula_sum 'Hf1 Nb1 Sb1 Se2'
_cell_length_a 4.880
_cell_length_b 4.880
_cell_length_c 5.611
_cell_angle_alpha 90.00
_cell_angle_beta 90.00
_cell_angle_gamma 90.00
_space_group_name_H-M_alt 'P 4/m m m'
_space_group_IT_number 123
_space_group_name_Hall '-P 4 2'
loop_
_atom_site_label
_atom_site_fract_x
_atom_site_fract_y
_atom_site_fract_z
_atom_site_occupancy
Hf1 0.000 0.000 0.000 1
Nb1 0.500 0.500 0.500 1
Sb1 0.500 0.500 0.000 1
Se1 0.000 0.500 0.500 1
```

[3]
Crystalline Hf2NbSbSe at its relaxed geometry. Source: the Alexandria database, functional PBE-GGA.

Results
Energy above the lowest structure with this stoichiometry ... 170 meV/atom
Total moment ... 0.000 μB/cell

CIF file:
```
data_Hf2NbSbSe
_chemical_formula_sum 'Hf2 Nb1 Sb1 Se1'
_cell_length_a 5.150
_cell_length_b 5.150
_cell_length_c 5.143
_cell_angle_alpha 90.00
_cell_angle_beta 90.00
_cell_angle_gamma 90.00
_space_group_name_H-M_alt 'P 4/m m m'
_space_group_IT_number 123
_space_group_name_Hall '-P 4 2'
loop_
_atom_site_label
_atom_site_fract_x
_atom_site_fract_y
_atom_site_fract_z
_atom_site_occupancy
Hf1 0.000 0.500 0.000 1
Nb1 0.000 0.000 0.000 1
Sb1 0.000 0.000 0.500 1
Se1 0.500 0.500 0.500 1
```

[4]
Crystalline SrHf2NbSb at its relaxed geometry. Source: the Alexandria database, functional PBE-GGA.

Results
Uncorrected energy ... -6.3333 eV per atom
Total moment ... 0.000 μB/cell

CIF file:
```
data_SrHf2NbSb
_chemical_formula_sum 'Sr1 Hf2 Nb1 Sb1'
_cell_length_a 5.057
_cell_length_b 5.057
_cell_length_c 5.899
_cell_angle_alpha 90.00
_cell_angle_beta 90.00
_cell_angle_gamma 90.00
_space_group_name_H-M_alt 'P 4/m m m'
_space_group_IT_number 123
_space_group_name_Hall '-P 4 2'
loop_
_atom_site_label
_atom_site_fract_x
_atom_site_fract_y
_atom_site_fract_z
_atom_site_occupancy
Sr1 0.000 0.000 0.000 1
Hf1 0.000 0.500 0.500 1
Nb1 0.000 0.000 0.500 1
Sb1 0.500 0.500 0.000 1
```

[5]
Crystalline Hf2NbVSb at its relaxed geometry. Source: the Alexandria database, functional PBE-GGA.

Results
Uncorrected energy ... -7.8005 eV per atom
Total moment ... 1.174 μB/cell

CIF file:
```
data_Hf2NbVSb
_chemical_formula_sum 'Hf2 Nb1 V1 Sb1'
_cell_length_a 4.806
_cell_length_b 4.806
_cell_length_c 4.887
_cell_angle_alpha 90.00
_cell_angle_beta 90.00
_cell_angle_gamma 90.00
_space_group_name_H-M_alt 'P 4/m m m'
_space_group_IT_number 123
_space_group_name_Hall '-P 4 2'
loop_
_atom_site_label
_atom_site_fract_x
_atom_site_fract_y
_atom_site_fract_z
_atom_site_occupancy
Hf1 0.000 0.500 0.000 1
Nb1 0.000 0.000 0.500 1
V1 0.500 0.500 0.000 1
Sb1 0.500 0.500 0.500 1
```

[6]
Crystalline Hf2NbSbW at its relaxed geometry. Source: the Alexandria database, functional PBE-GGA.

Results
Uncorrected energy ... -8.2000 eV per atom
Total moment ... 0.000 μB/cell

CIF file:
```
data_Hf2NbSbW
_chemical_formula_sum 'Hf2 Nb1 Sb1 W1'
_cell_length_a 5.028
_cell_length_b 5.028
_cell_length_c 5.011
_cell_angle_alpha 90.00
_cell_angle_beta 90.00
_cell_angle_gamma 90.00
_space_group_name_H-M_alt 'P 4/m m m'
_space_group_IT_number 123
_space_group_name_Hall '-P 4 2'
loop_
_atom_site_label
_atom_site_fract_x
_atom_site_fract_y
_atom_site_fract_z
_atom_site_occupancy
Hf1 0.000 0.500 0.000 1
Nb1 0.000 0.000 0.500 1
Sb1 0.500 0.500 0.500 1
W1 0.500 0.500 0.000 1
```